(1)
Si3Se: relaxed, PBE-GGA.

Properties
For the volume, the calculation gives 16.447 Å³ per atom. The calculated total energy comes out at -4.377 eV per atom. As for the space-group type: Cmmm, No. 65. For the total magnetization, the calculation gives 0.0000 μB per atom.

Lattice parameters (Å, degrees): 4.533 4.533 3.201 90.00 90.00 90.07
Positions (direct):
Si  0.500  0.000  0.500
Si  0.000  0.500  0.500
Si  0.500  0.500  0.000
Se  0.000  0.000  0.000

(2)
NaTa3Hg: relaxed, PBE-GGA.

Properties
For the volume, the calculation gives 27.035 Å³ per atom. The calculated total energy comes out at -5.199 eV per atom. As for the space-group type: Pm-3m, No. 221. For the total magnetization, the calculation gives 0.3978 μB per atom.

Lattice parameters (Å, degrees): 5.132 5.132 5.132 90.00 90.00 90.00
Positions (direct):
Hg  0.000  0.000  0.000
Ta  0.000  0.000  0.500
Ta  0.000  0.500  0.000
Ta  0.500  0.000  0.000
Na  0.500  0.500  0.500

(3)
SrDyHgAu: relaxed, PBE-GGA.

Properties
For the volume, the calculation gives 26.836 Å³ per atom. The calculated total energy comes out at -3.032 eV per atom. As for the space-group type: F-43m, No. 216. For the total magnetization, the calculation gives 0.0000 μB per atom.

Lattice parameters (Å, degrees): 5.335 5.335 5.335 60.00 60.00 60.00
Positions (direct):
Au  0.000  0.000  0.000
Sr  0.250  0.250  0.250
Dy  0.750  0.750  0.750
Hg  0.500  0.500  0.500

(4)
Tl2Sn3Br8: relaxed, PBE-GGA.

Properties
For the volume, the calculation gives 40.057 Å³ per atom. The calculated total energy comes out at -3.118 eV per atom. As for the space-group type: C2/m, No. 12. For the total magnetization, the calculation gives 0.0000 μB per atom.

Lattice parameters (Å, degrees): 7.617 8.846 9.290 118.43 106.57 90.00
Positions (direct):
Br  0.054  0.387  0.774
Br  0.598  0.655  0.778
Br  0.902  0.111  0.222
Br  0.402  0.345  0.222
Br  0.598  0.123  0.778
Br  0.098  0.889  0.778
Br  0.402  0.877  0.222
Br  0.946  0.613  0.226
Sn  0.500  0.000  0.000
Sn  0.000  0.260  0.000
Sn  0.000  0.740  0.000
Tl  0.335  0.266  0.532
Tl  0.665  0.734  0.468

(5)
KTlRuCl6: relaxed, PBE-GGA.

Properties
For the volume, the calculation gives 32.699 Å³ per atom. The calculated total energy comes out at -3.579 eV per atom. As for the space-group type: P312, No. 149. For the total magnetization, the calculation gives 0.2222 μB per atom.

Lattice parameters (Å, degrees): 7.365 7.364 6.265 90.00 90.00 60.00
Positions (direct):
Ru  0.333  0.333  0.500
Cl  0.332  0.594  0.281
Cl  0.594  0.332  0.720
Cl  0.074  0.332  0.280
Cl  0.074  0.594  0.720
Cl  0.594  0.074  0.280
Cl  0.332  0.074  0.719
K  0.667  0.667  0.500
Tl  0.000  0.000  0.000

(6)
LiAlCdGa: relaxed, PBE-GGA.

Properties
For the volume, the calculation gives 18.203 Å³ per atom. The calculated total energy comes out at -2.474 eV per atom. As for the space-group type: F-43m, No. 216. For the total magnetization, the calculation gives 0.0000 μB per atom.

Lattice parameters (Å, degrees): 4.687 4.687 4.687 60.00 60.00 60.00
Positions (direct):
Cd  0.750  0.750  0.750
Ga  0.250  0.250  0.250
Al  0.500  0.500  0.500
Li  0.000  0.000  0.000

(7)
SrLa2Mn: relaxed, PBE-GGA.

Properties
For the volume, the calculation gives 32.871 Å³ per atom. The calculated total energy comes out at -4.725 eV per atom. As for the space-group type: F-43m, No. 216. For the total magnetization, the calculation gives 0.6485 μB per atom.

Lattice parameters (Å, degrees): 5.708 5.708 5.708 60.00 60.00 60.00
Positions (direct):
Sr  0.750  0.750  0.750
La  0.000  0.000  0.000
La  0.250  0.250  0.250
Mn  0.500  0.500  0.500

(8)
Ti2CdTcH: relaxed, PBE-GGA.

Properties
For the volume, the calculation gives 16.642 Å³ per atom. The calculated total energy comes out at -4.984 eV per atom. As for the space-group type: P4/mmm, No. 123. For the total magnetization, the calculation gives 0.0000 μB per atom.

Lattice parameters (Å, degrees): 5.074 3.233 5.074 90.00 90.00 90.00
Positions (direct):
Ti  0.000  0.000  0.500
Ti  0.500  0.000  0.000
Cd  0.000  0.000  0.000
H  0.000  0.500  0.000
Tc  0.500  0.500  0.500

(9)
TlMoSe2: relaxed, PBE-GGA.

Properties
For the volume, the calculation gives 31.046 Å³ per atom. The calculated total energy comes out at -5.093 eV per atom. As for the space-group type: I-42d, No. 122. For the total magnetization, the calculation gives 0.0000 μB per atom.

Lattice parameters (Å, degrees): 7.075 7.075 7.046 59.87 59.87 90.00
Positions (direct):
Se  0.375  0.471  0.750
Se  0.875  0.779  0.750
Se  0.221  0.625  0.250
Se  0.529  0.125  0.250
Tl  0.750  0.250  0.500
Tl  0.000  0.000  0.000
Mo  0.500  0.500  0.000
Mo  0.250  0.750  0.500

(10)
Nd4Rh3Au: relaxed, PBE-GGA.

Properties
For the volume, the calculation gives 23.937 Å³ per atom. The calculated total energy comes out at -6.267 eV per atom. As for the space-group type: Pmm2, No. 25. For the total magnetization, the calculation gives 0.0000 μB per atom.

Lattice parameters (Å, degrees): 3.918 4.485 10.897 90.00 90.00 90.00
Positions (direct):
Rh  0.000  0.500  0.588
Rh  0.000  0.000  0.409
Rh  0.500  0.000  0.914
Nd  0.000  0.500  0.853
Nd  0.500  0.000  0.639
Nd  0.500  0.500  0.372
Nd  0.000  0.000  0.143
Au  0.500  0.500  0.082

(11)
Hf3PtI: relaxed, PBE-GGA.

Properties
For the volume, the calculation gives 26.995 Å³ per atom. The calculated total energy comes out at -7.220 eV per atom. As for the space-group type: Pm-3m, No. 221. For the total magnetization, the calculation gives 0.0000 μB per atom.

Lattice parameters (Å, degrees): 5.130 5.130 5.130 90.00 90.00 90.00
Positions (direct):
I  0.500  0.500  0.500
Hf  0.500  0.000  0.000
Hf  0.000  0.500  0.000
Hf  0.000  0.000  0.500
Pt  0.000  0.000  0.000

(12)
SrTe2CS: relaxed, PBE-GGA.

Properties
For the volume, the calculation gives 24.844 Å³ per atom. The calculated total energy comes out at -4.026 eV per atom. As for the space-group type: P4/mmm, No. 123. For the total magnetization, the calculation gives 0.0000 μB per atom.

Lattice parameters (Å, degrees): 4.550 6.002 4.550 90.00 90.00 90.00
Positions (direct):
C  0.000  0.000  0.000
Sr  0.000  0.500  0.000
S  0.500  0.500  0.500
Te  0.000  0.000  0.500
Te  0.500  0.000  0.000

(13)
HfSbPt6: relaxed, PBE-GGA.

Properties
For the volume, the calculation gives 16.769 Å³ per atom. The calculated total energy comes out at -6.930 eV per atom. As for the space-group type: P4/mmm, No. 123. For the total magnetization, the calculation gives 0.0000 μB per atom.

Lattice parameters (Å, degrees): 4.054 4.054 8.164 90.00 90.00 90.00
Positions (direct):
Pt  0.000  0.500  0.742
Pt  0.000  0.500  0.258
Pt  0.500  0.500  0.500
Pt  0.500  0.000  0.258
Pt  0.500  0.000  0.742
Pt  0.500  0.500  0.000
Sb  0.000  0.000  0.000
Hf  0.000  0.000  0.500

(14)
CrMoP2: relaxed, PBE-GGA.

Properties
For the volume, the calculation gives 19.495 Å³ per atom. The calculated total energy comes out at -7.676 eV per atom. As for the space-group type: I-42d, No. 122. For the total magnetization, the calculation gives 0.8912 μB per atom.

Lattice parameters (Å, degrees): 5.425 5.425 6.542 65.51 65.51 90.00
Positions (direct):
P  0.375  0.382  0.750
P  0.875  0.868  0.750
P  0.618  0.125  0.250
P  0.132  0.625  0.250
Cr  0.250  0.750  0.500
Cr  0.500  0.500  0.000
Mo  0.000  0.000  0.000
Mo  0.750  0.250  0.500

(15)
TlTePbO4: relaxed, PBE-GGA.

Properties
For the volume, the calculation gives 21.705 Å³ per atom. The calculated total energy comes out at -5.029 eV per atom. As for the space-group type: P2_1/m, No. 11. For the total magnetization, the calculation gives 0.0000 μB per atom.

Lattice parameters (Å, degrees): 6.254 6.443 8.572 90.00 118.38 90.00
Positions (direct):
Te  0.855  0.250  0.745
Te  0.145  0.750  0.255
O  0.603  0.250  0.816
O  0.605  0.250  0.503
O  0.994  0.507  0.709
O  0.994  0.993  0.709
O  0.006  0.493  0.291
O  0.006  0.007  0.291
O  0.397  0.750  0.184
O  0.395  0.750  0.497
Tl  0.613  0.250  0.132
Tl  0.387  0.750  0.868
Pb  0.240  0.250  0.521
Pb  0.760  0.750  0.479